No. 1
Entry from Alexandria via LeMat-Bulk: Li2TlCd3 after structural relaxation (PBE).

a = 5.3948 Å, b = 7.4319 Å, c = 7.5353 Å
α = 105.66°, β = 103.94°, γ = 109.60°
Space group P-1 (No. 2)
Symmetry-distinct sites (fractional):
Li: 0.2342 0.4539 0.0769 x2
Li: 0.2639 0.7794 0.4423 x2
Tl: 0.2528 0.1528 0.7403 x2
Cd: 0.2334 0.3088 0.3891 x2
Cd: 0.2548 0.9523 0.1067 x2
Cd: 0.2608 0.6175 0.7699 x2

Output
Formation enthalpy at 0 K, eV/atom: -0.14
Crystal system: triclinic



No. 2
Entry from Alexandria via LeMat-Bulk: ZnBO2 after structural relaxation (PBE).

a = 4.6502 Å, b = 4.6502 Å, c = 6.8714 Å
α = 90.00°, β = 90.00°, γ = 90.00°
Space group I-42d (No. 122)
Symmetry-distinct sites (fractional):
Zn: 0.0000 0.0000 0.0000 x4
B: 0.0000 0.0000 0.5000 x4
O: 0.0919 0.2500 0.6250 x8

Output
Offset from the most stable computed form, eV/atom: 0.0485
ΔE_f (raw), meV/atom: -1339
Crystal system: tetragonal



No. 3
Entry from Alexandria via LeMat-Bulk: Nd2TlSb after structural relaxation (PBE).

a = 8.4308 Å, b = 4.2284 Å, c = 14.8113 Å
α = 90.00°, β = 90.00°, γ = 90.00°
Space group Pnma (No. 62)
Symmetry-distinct sites (fractional):
Nd: 0.1827 0.2500 0.0112 x4
Nd: 0.1857 0.7500 0.7630 x4
Tl: 0.0462 0.2500 0.4195 x4
Sb: 0.0673 0.7500 0.1611 x4

Output
Offset from the most stable computed form, eV/atom: 0.1398
ΔE_f (raw), meV/atom: -626
Crystal system: orthorhombic



No. 4
Entry from Alexandria via LeMat-Bulk: MgCuAu4 after structural relaxation (PBE).

a = 7.7379 Å, b = 7.7379 Å, c = 7.7379 Å
α = 90.00°, β = 90.00°, γ = 90.00°
Space group F-43m (No. 216)
Symmetry-distinct sites (fractional):
Mg: 0.0000 0.0000 0.0000 x4
Cu: 0.2500 0.2500 0.2500 x4
Au: 0.1249 0.1249 0.6249 x16

Output
Formation enthalpy at 0 K, eV/atom: -0.02
Offset from the most stable computed form, eV/atom: 0.2209
Crystal system: cubic



No. 5
Entry from Alexandria via LeMat-Bulk: BaCd2PtBr after structural relaxation (PBE).

a = 5.2455 Å, b = 5.2455 Å, c = 6.1336 Å
α = 90.00°, β = 90.00°, γ = 90.00°
Space group P4/mmm (No. 123)
Symmetry-distinct sites (fractional):
Ba: 0.0000 0.0000 0.0000 x1
Cd: 0.0000 0.5000 0.5000 x2
Pt: 0.0000 0.0000 0.5000 x1
Br: 0.5000 0.5000 0.0000 x1

Output
ΔE_f (raw), meV/atom: -765
Crystal system: tetragonal



No. 6
Entry from Alexandria via LeMat-Bulk: SrYPF2 after structural relaxation (PBE).

a = 4.3035 Å, b = 4.3035 Å, c = 8.1140 Å
α = 90.00°, β = 90.00°, γ = 90.00°
Space group P4/mmm (No. 123)
Symmetry-distinct sites (fractional):
Sr: 0.0000 0.0000 0.0000 x1
Y: 0.0000 0.0000 0.5000 x1
P: 0.5000 0.5000 0.0000 x1
F: 0.0000 0.5000 0.5000 x2

Output
ΔE_f (raw), meV/atom: -2088
Crystal system: tetragonal